# 1
VASP calculation (PBE-GGA) on an optimized crystal structure of Th2TcOs. Values from VASP.

```
&SYSTEM
  ibrav = 0, nat = 8, ntyp = 3
/
ATOMIC_SPECIES
Th 232.04 Th.upf
Os 190.23 Os.upf
Tc 98.00 Tc.upf
CELL_PARAMETERS angstrom
3.950 0.000 0.000
0.000 6.190 0.189
0.000 -2.837 7.500
ATOMIC_POSITIONS angstrom
Th 0.988 4.622 0.658
Os 0.988 0.035 5.365
Tc 0.988 1.492 1.637
Os 2.963 3.318 2.324
Th 2.963 -1.269 7.031
Th 0.988 3.214 4.435
Th 2.963 0.138 3.254
Tc 2.963 1.861 6.052
```

Summary:
As for the total magnetization: 0.0 μB/f.u. As for the formation energy from the elements: -157 meV/atom. As for the space group: P2_1/m, No. 11.

***

# 2
VASP calculation (PBE-GGA) on an optimized crystal structure of Ce2Mg9Cd6. Values from VASP.

```
&SYSTEM
  ibrav = 0, nat = 17, ntyp = 3
/
ATOMIC_SPECIES
Mg 24.30 Mg.upf
Ce 140.12 Ce.upf
Cd 112.41 Cd.upf
CELL_PARAMETERS angstrom
-4.555 -3.667 -1.094
5.112 -2.163 2.141
-4.866 1.981 13.616
ATOMIC_POSITIONS angstrom
Mg 0.123 -0.091 7.879
Mg -3.781 -1.262 11.884
Mg 1.750 -0.753 3.327
Ce -1.710 0.696 4.785
Mg -3.084 -1.505 1.709
Mg -4.710 -0.843 6.261
Mg -0.528 -2.587 2.780
Ce -3.156 1.285 8.832
Cd 1.889 -2.664 1.063
Mg -6.337 -0.180 10.813
Cd -2.948 -2.508 4.503
Mg -1.504 0.571 12.431
Cd -1.333 -3.166 -0.016
Cd 0.275 -2.007 5.582
Cd -1.361 -1.341 10.160
Cd -4.584 -1.842 9.082
Mg -2.155 -1.924 7.332
```

Summary:
As for the total magnetization: 2.3 μB/f.u. As for the formation energy from the elements: 7 meV/atom. As for the space group: P6/mmm, No. 191.

***

Among the records above, which one has the lowest formation energy from the elements? Th2TcOs

***

What is the total magnetization in the second record? 2.3 μB/f.u.